# PrErSi2

A geometry-optimized PrErSi2 structure (PBE-GGA, the Alexandria database).

Calculated values
Offset from the most stable computed form in eV per atom: 0.279
Uncorrected formation energy in eV per atom: -0.47
Space-group type: R-3m (166)
DOS(E_F) in states/eV/f.u.: 2.42
Magnetization in μB/f.u.: 0.0
Calculated volume in Å³ per cell: 294.9

Lattice parameters (Å, degrees): 4.625 4.625 15.920 90.00 90.00 120.00
Positions (direct):
Pr: 0.000 0.000 0.000
Pr: 0.333 0.667 0.667
Pr: 0.667 0.333 0.333
Er: 0.000 0.000 0.500
Er: 0.333 0.667 0.167
Er: 0.667 0.333 0.833
Si: 0.000 0.000 0.238
Si: 0.000 0.000 0.762
Si: 0.333 0.667 0.429
Si: 0.333 0.667 0.905
Si: 0.667 0.333 0.095
Si: 0.667 0.333 0.571